[1]
! LaAs2P | Alexandria | PBE | optimized geometry; values from VASP
&SYSTEM
  ibrav = 0, nat = 4, ntyp = 3
/
ATOMIC_SPECIES
As 74.92 As.upf
La 138.91 La.upf
P 30.97 P.upf
CELL_PARAMETERS angstrom
-0.6423 5.3557 -4.7498
0.1550 2.0216 -6.8953
-3.6046 2.7323 -5.5855
ATOMIC_POSITIONS angstrom
As -0.0537 0.1326 -0.2259
As -1.9923 4.9223 -8.3894
La -1.0230 2.5274 -4.3076
P -3.0689 7.5822 -12.9229
! **Space group**: No. 166
! **Energy of formation from the pure elements**: -0.337 eV per atom



[2]
! LaAs2P | Alexandria | PBE | optimized geometry; values from VASP
&SYSTEM
  ibrav = 0, nat = 4, ntyp = 3
/
ATOMIC_SPECIES
As 74.92 As.upf
La 138.91 La.upf
P 30.97 P.upf
CELL_PARAMETERS angstrom
-2.2376 2.6742 4.3819
-4.8366 -0.4178 2.7915
1.0289 -2.4933 3.1660
ATOMIC_POSITIONS angstrom
As 0.0251 -0.1845 0.3177
As -3.0477 0.0660 4.8520
La -4.5339 -0.1777 7.7545
P -1.5113 -0.0592 2.5848
! **Space group**: No. 12
! **Energy of formation from the pure elements**: -0.614 eV per atom



[3]
! LaAs3P | Alexandria | PBE | optimized geometry; values from VASP
&SYSTEM
  ibrav = 0, nat = 5, ntyp = 3
/
ATOMIC_SPECIES
P 30.97 P.upf
As 74.92 As.upf
La 138.91 La.upf
CELL_PARAMETERS angstrom
5.6280 0.0000 0.0000
0.0000 5.6280 0.0000
0.0000 0.0000 5.6280
ATOMIC_POSITIONS angstrom
P 2.8140 2.8140 2.8140
As 0.0000 2.8140 0.0000
As 0.0000 0.0000 2.8140
As 2.8140 0.0000 0.0000
La 0.0000 0.0000 0.0000
! **Distance to the lowest polymorph of the same formula**: 1408.6 meV/atom
! **Space group**: No. 221
! **Energy of formation from the pure elements**: 1.201 eV per atom



[4]
! LaAsP | Alexandria | PBE | optimized geometry; values from VASP
&SYSTEM
  ibrav = 0, nat = 3, ntyp = 3
/
ATOMIC_SPECIES
As 74.92 As.upf
La 138.91 La.upf
P 30.97 P.upf
CELL_PARAMETERS angstrom
5.3296 0.0205 -0.0245
3.7154 3.8213 -0.0215
1.6141 0.6830 3.7390
ATOMIC_POSITIONS angstrom
As 8.7998 3.7376 0.0788
La 3.9973 1.6961 2.5251
P 6.9071 2.9330 1.0429
! **Distance to the lowest polymorph of the same formula**: 57.6 meV/atom
! **Space group**: No. 107
! **Energy of formation from the pure elements**: -0.836 eV per atom



[5]
! LaAsP4 | Alexandria | PBE | optimized geometry; values from VASP
&SYSTEM
  ibrav = 0, nat = 6, ntyp = 3
/
ATOMIC_SPECIES
La 138.91 La.upf
As 74.92 As.upf
P 30.97 P.upf
CELL_PARAMETERS angstrom
-3.4066 -3.9298 1.7099
-3.3204 0.9164 4.2552
-5.3920 0.5142 -0.7963
ATOMIC_POSITIONS angstrom
La 0.0000 0.0000 0.0000
As -9.0892 -1.8744 3.8766
P -6.2180 -2.6397 2.7601
P -7.0530 -0.7706 1.7060
P -6.1817 -0.6014 3.8306
P -4.7852 -0.9868 2.0409
! **Space group**: No. 216
! **Energy of formation from the pure elements**: -0.144 eV per atom



[6]
! La3AsP | Alexandria | PBE | optimized geometry; values from VASP
&SYSTEM
  ibrav = 0, nat = 5, ntyp = 3
/
ATOMIC_SPECIES
P 30.97 P.upf
As 74.92 As.upf
La 138.91 La.upf
CELL_PARAMETERS angstrom
-4.1619 2.1375 -2.8698
-3.5639 -2.8718 3.0294
-0.3218 4.1605 3.5655
ATOMIC_POSITIONS angstrom
P 0.0000 0.0000 0.0000
As -4.0238 1.7131 1.8626
La -1.7819 -1.4359 1.5147
La -0.1609 2.0802 1.7828
La -2.0810 1.0688 -1.4349
! **Distance to the lowest polymorph of the same formula**: 0.0 meV/atom
! **Space group**: No. 221
! **Energy of formation from the pure elements**: -0.707 eV per atom



[7]
! LaAsP2 | Alexandria | PBE | optimized geometry; values from VASP
&SYSTEM
  ibrav = 0, nat = 4, ntyp = 3
/
ATOMIC_SPECIES
As 74.92 As.upf
La 138.91 La.upf
P 30.97 P.upf
CELL_PARAMETERS angstrom
3.9675 0.0000 0.0000
0.0000 4.3851 0.1254
0.0000 3.0764 6.0074
ATOMIC_POSITIONS angstrom
As 0.0000 3.3234 2.7793
La 1.9837 5.6559 5.0881
P 0.0000 3.3780 5.1836
P 1.9837 1.9114 2.1557
! **Space group**: No. 6
! **Energy of formation from the pure elements**: -0.634 eV per atom



[8]
! La7As5P | Alexandria | PBE | optimized geometry; values from VASP
&SYSTEM
  ibrav = 0, nat = 26, ntyp = 3
/
ATOMIC_SPECIES
La 138.91 La.upf
As 74.92 As.upf
P 30.97 P.upf
CELL_PARAMETERS angstrom
-1.6076 3.9497 0.6134
-2.2555 -2.2123 -6.7959
-20.9087 -10.0982 10.2263
ATOMIC_POSITIONS angstrom
La -7.9529 -2.7362 -3.2247
La -16.8224 -5.6248 7.2600
La -2.4015 1.5452 -1.1138
La -22.3754 -9.9067 5.1489
La -13.4264 -5.5851 0.7748
La -11.3466 -2.7755 3.2638
La -4.8921 -1.9012 -0.5794
La -19.8844 -6.4602 4.6144
La -16.9347 -5.0359 3.1737
La -7.8395 -3.3249 0.8633
La -5.5718 0.6988 -3.9731
La -19.2054 -9.0606 8.0085
La -13.2170 -6.1688 5.0825
La -11.5550 -2.1913 -1.0444
As -0.0027 -0.0005 -0.0042
As -21.5217 -7.4699 6.8251
As -3.2551 -0.8916 -2.7901
As -8.4651 -1.6045 3.2760
As -16.3093 -6.7564 0.7615
As -10.4546 -5.0488 5.1107
As -10.5565 -4.4183 0.7832
As -14.2172 -3.9425 3.2554
As -20.5827 -8.8200 2.8493
As -4.1938 0.4586 1.1853
P -7.8707 -0.6929 -1.0363
P -16.9059 -7.6686 5.0718
! **Space group**: No. 63
! **Energy of formation from the pure elements**: -1.428 eV per atom



What did we get for volume? Answer: 24.07; 22.69; 35.65; 25.34; 19.34; 33.07; 25.75; 30.18 A^3/atom, in the order shown.
What did we get for spin magnetization? Answer: 0.00; 0.00; 0.00; 0.00; 0.00; 0.00; 0.00; 0.78 μB/f.u., in the order shown.